CaAlTl2F6 | PBE | relaxed

Lattice parameters (Å, degrees): 5.880 6.602 6.602 120.00 90.00 90.00
Atoms (fractional coordinates):
F 0.193 0.873 0.746
Ca 0.500 0.000 0.000
F 0.807 0.127 0.254
F 0.193 0.873 0.127
Al 0.000 0.000 0.000
F 0.807 0.127 0.873
F 0.193 0.254 0.127
F 0.807 0.746 0.873
Tl 0.900 0.667 0.333
Tl 0.100 0.333 0.667

Calculated values
For the size of the total moment, the calculation gives 0.000 μB per atom. The crystal system is trigonal. For the uncorrected formation energy, the calculation gives -2750 meV per atom.